(1)
A relaxed structure of Pm7HgI12, computed with GGA-PBE.

## Properties
V   40.090 Å³/atom
M_tot   0.0 Bohr magnetons per cell
Formation energy without anion corrections   -1.21 eV per atom
Crystal system   trigonal
Theoretical density   5.67 g cm⁻³

a = 16.1800 Å, b = 16.1800 Å, c = 10.6098 Å
α = 90.00°, β = 90.00°, γ = 120.00°
With the nearest neighbours (Å) after each atom.
Space group R-3 (No. 148, hexagonal axes)
One atom of each set of equivalent atoms:
1 Pm 0.0000 0.0000 0.0000 (multiplicity 3)  6 I 3.18
2 Pm 0.0481 0.8811 0.3357 (multiplicity 18)  1 Hg 2.97, 5 I 3.18-3.29
3 Hg 0.0000 0.0000 0.5000 (multiplicity 3)  6 Pm 2.97
4 I 0.0253 0.4371 0.1656 (multiplicity 18)  3 Pm 3.18-3.29
5 I 0.0533 0.8659 0.8429 (multiplicity 18)  3 Pm 3.18-3.20



(2)
A relaxed structure of PmHgI2, computed with GGA-PBE.

## Properties
Energy above the lowest structure with this stoichiometry   5 meV per atom
V   38.334 Å³/atom
M_tot   0.0 Bohr magnetons per cell
Formation energy without anion corrections   -0.93 eV per atom
Crystal system   tetragonal
Theoretical density   6.49 g cm⁻³

a = 3.8482 Å, b = 3.8482 Å, c = 10.3543 Å
α = 90.00°, β = 90.00°, γ = 90.00°
With the nearest neighbours (Å) after each atom.
Space group P4/mmm (No. 123)
One atom of each set of equivalent atoms:
1 Pm 0.0000 0.0000 0.0000 (multiplicity 1)  8 I 3.31
2 Hg 0.0000 0.0000 0.5000 (multiplicity 1)  4 Hg 3.85, 8 I 4.28
3 I 0.5000 0.5000 0.1813 (multiplicity 2)  4 Pm 3.31



(3)
A relaxed structure of Pm2HgI2, computed with GGA-PBE.

## Properties
V   38.155 Å³/atom
M_tot   0.0 Bohr magnetons per cell
Formation energy without anion corrections   -0.96 eV per atom
Crystal system   trigonal
Theoretical density   6.48 g cm⁻³

a = 4.2405 Å, b = 4.2405 Å, c = 36.7520 Å
α = 90.00°, β = 90.00°, γ = 120.00°
With the nearest neighbours (Å) after each atom.
Space group R-3m (No. 166, hexagonal axes)
One atom of each set of equivalent atoms:
1 Pm 0.0000 0.0000 0.1133 (multiplicity 6)  3 Hg 3.14, 3 I 3.21
2 Hg 0.0000 0.0000 0.5000 (multiplicity 3)  6 Pm 3.14
3 I 0.0000 0.0000 0.2764 (multiplicity 6)  3 Pm 3.21



(4)
A relaxed structure of PmHgI, computed with GGA-PBE.

## Properties
V   36.046 Å³/atom
M_tot   0.0 Bohr magnetons per cell
Formation energy without anion corrections   -0.82 eV per atom
Crystal system   monoclinic
Theoretical density   7.26 g cm⁻³

a = 7.6634 Å, b = 4.4276 Å, c = 12.7508 Å
α = 90.00°, β = 91.20°, γ = 90.00°
With the nearest neighbours (Å) after each atom.
Space group C2/m (No. 12)
One atom of each set of equivalent atoms:
1 Pm 0.0066 0.0000 0.1914 (multiplicity 4)  3 Hg 3.09, 3 I 3.23
2 Hg 0.1648 0.5000 0.9446 (multiplicity 4)  3 Hg 2.92, 3 Pm 3.09
3 I 0.1786 0.5000 0.3465 (multiplicity 4)  3 Pm 3.23



- Number 1 is which compound?
  Pm7HgI12